TbSmEr2Sb4 | Alexandria via LeMat-Bulk | PBE-GGA | relaxed; electronic total energy = -5.497 eV per atom; symmetry = P2/m; raw formation energy = -9.0 eV per formula unit
1.0
4.3984 0.0000 0.0000
0.0000 7.6081 -0.1515
0.0000 2.6814 7.1246
Tb Sm Er Sb
1 1 2 4
Cartesian
0.0000 5.1447 3.4866
2.1992 6.4854 7.0488
0.0000 2.6814 7.1246
2.1992 1.3407 3.5623
0.0000 7.7548 5.1991
4.3984 2.5347 1.7739
2.1992 6.4150 1.6690
2.1992 3.8744 5.3040